Computed, not measured: LiTl2Cd at its PBEsol-relaxed geometry at the SCAN level of DFT.

Cell lengths 4.365, 4.599, 4.599 Å; angles 90.00, 90.00, 90.00 degrees
Fractional positions:
Tl 0.000 0.000 0.500
Tl 0.000 0.500 0.000
Cd 0.500 0.500 0.500
Li 0.500 0.000 0.000

Values from the calculation:
DFT formation energy: -0.107 eV per atom